Material: SbAs2PtBr
Method: DFT, GGA-PBE
State: optimized geometry

Summary:
Space-group type ... P4/mmm (123)
Crystal system ... tetragonal
Magnetic moment ... 0.00 μB/f.u.
Formation energy from raw total energies ... 0.446 eV per atom
Mass density ... 7.270 Mg/m³
ΔE to the lowest computed polymorph ... 0.0 meV/atom

Unit cell a=4.9551 b=4.9551 c=5.0849 alpha=90.00 beta=90.00 gamma=90.00
Last column: nearest neighbours and their distance in Å.
Fractional positions:
Pt: 0.0000 0.0000 0.0000  4 As 2.48, 2 Br 2.54
As: 0.0000 0.5000 0.0000  2 Pt 2.48
Br: 0.0000 0.0000 0.5000  2 Pt 2.54
As: 0.5000 0.0000 0.0000  2 Pt 2.48
Sb: 0.5000 0.5000 0.5000  4 Br 3.50, 8 As 3.55